Entry P
## Pm3DySb2 (PBE)

Data for crystalline Pm3DySb2 at its relaxed geometry.

The magnetic moment comes out at 0.251 μB per formula unit.

The space group is Ibam (No. 72) and the conventional cell measures 7.166, 14.537 and 7.859 Å, with angles of 90.00, 90.00 and 90.00 degrees. Symmetry generates all atoms from Pm at (0.000, 0.000, 0.250), Pm at (0.000, 0.291, 0.250), Dy at (0.000, 0.500, 0.000) and Sb at (0.179, 0.145, 0.000).

Entry Q
## Pm3DySb2 (PBE)

Data for crystalline Pm3DySb2 at its relaxed geometry.

The magnetic moment comes out at 0.000 μB per formula unit.

The space group is P-4m2 (No. 115) and the conventional cell measures 4.549, 4.549 and 8.728 Å, with angles of 90.00, 90.00 and 90.00 degrees. Symmetry generates all atoms from Pm at (0.000, 0.000, 0.000), Pm at (0.000, 0.500, 0.646), Dy at (0.500, 0.500, 0.000) and Sb at (0.000, 0.500, 0.277).

Most stable = entry Q